[1]
The following is a GGA-PBEsol calculation of GeTe5Pb4 after structural relaxation, from Alexandria.

space group: R-3m
crystal system: trigonal
energy relative to the elements, uncorrected: -0.2982 eV/atom

a = 18.5807 Å, b = 18.5807 Å, c = 18.5807 Å
α = 13.80°, β = 13.80°, γ = 13.80°
Last column: nearest neighbours and their distance in Å.
Sites, in units of the cell vectors:
Ge  0.0000  0.0000  0.0000  6 Te 3.01
Te  0.0977  0.0977  0.0977  6 Pb 3.20-3.21
Te  0.3051  0.3051  0.3051  3 Ge 3.01, 3 Pb 3.22
Te  0.5000  0.5000  0.5000  6 Pb 3.20
Te  0.6949  0.6949  0.6949  3 Ge 3.01, 3 Pb 3.22
Te  0.9023  0.9023  0.9023  6 Pb 3.20-3.21
Pb  0.2011  0.2011  0.2011  6 Te 3.20
Pb  0.3965  0.3965  0.3965  6 Te 3.21-3.22
Pb  0.6035  0.6035  0.6035  6 Te 3.21-3.22
Pb  0.7989  0.7989  0.7989  6 Te 3.20



[2]
The following is a GGA-PBEsol calculation of GeTe4Pb3 after structural relaxation, from Alexandria.

space group: P4/mmm
crystal system: tetragonal
energy relative to the elements, uncorrected: -0.2581 eV/atom

a = 4.4752 Å, b = 4.4752 Å, c = 12.6357 Å
α = 90.00°, β = 90.00°, γ = 90.00°
Last column: nearest neighbours and their distance in Å.
Sites, in units of the cell vectors:
Ge  0.0000  0.0000  0.0000  6 Te 3.00-3.16
Te  0.0000  0.0000  0.2378  1 Ge 3.00, 5 Pb 3.17-3.31
Te  0.0000  0.0000  0.7622  1 Ge 3.00, 5 Pb 3.17-3.31
Te  0.5000  0.5000  0.0000  2 Pb 3.12, 4 Ge 3.16
Te  0.5000  0.5000  0.5000  6 Pb 3.16-3.19
Pb  0.0000  0.0000  0.5000  6 Te 3.16-3.31
Pb  0.5000  0.5000  0.2473  6 Te 3.12-3.19
Pb  0.5000  0.5000  0.7527  6 Te 3.12-3.19



[3]
The following is a GGA-PBEsol calculation of GeTe2Pb after structural relaxation, from Alexandria.

space group: P4/mmm
crystal system: tetragonal
energy relative to the elements, uncorrected: -0.1552 eV/atom

a = 4.3890 Å, b = 4.3890 Å, c = 6.2014 Å
α = 90.00°, β = 90.00°, γ = 90.00°
Last column: nearest neighbours and their distance in Å.
Sites, in units of the cell vectors:
Ge  0.0000  0.0000  0.0000  6 Te 3.10
Te  0.0000  0.0000  0.5000  2 Ge 3.10, 4 Pb 3.10
Te  0.5000  0.5000  0.0000  2 Pb 3.10, 4 Ge 3.10
Pb  0.5000  0.5000  0.5000  6 Te 3.10



no.,uncorrected energy (eV per cell)
1,-41.55
2,-33.10
3,-16.61